## i
! GGA-PBE Na5SnHg, relaxed; values from VASP
! Calculated volume: 421.8 Å³/cell
! Theoretical density: 3.419 Mg/m³
! Spin magnetization: 0.00 μB per formula unit
! Space group: No. 15
&SYSTEM
  ibrav = 0, nat = 14, ntyp = 3
/
ATOMIC_SPECIES
Na 22.99 Na.upf
Sn 118.71 Sn.upf
Hg 200.59 Hg.upf
CELL_PARAMETERS angstrom
4.1874 -4.2596 0.0000
4.1874 4.2596 0.0000
-2.6518 0.0000 11.8231
ATOMIC_POSITIONS angstrom
Na 2.0207 2.1182 1.6461
Na 2.1986 3.6542 8.8673
Na 1.8291 1.1769 5.4196
Na 5.0283 2.1182 4.2654
Na 5.2199 1.1769 0.4919
Na 0.5032 -1.1769 11.3312
Na 0.6948 -2.1182 7.5577
Na 3.8940 -1.1769 6.4035
Na 3.5245 -3.6542 2.9558
Na 3.7024 -2.1182 10.1769
Sn 0.0000 0.0000 0.0000
Sn -1.3259 0.0000 5.9115
Hg 2.1986 0.4592 8.8673
Hg 3.5245 -0.4592 2.9558

## ii
! GGA-PBE Na5SnHg, relaxed; values from VASP
! Calculated volume: 427.9 Å³/cell
! Theoretical density: 3.370 Mg/m³
! Spin magnetization: 0.00 μB per formula unit
! Space group: No. 63
&SYSTEM
  ibrav = 0, nat = 14, ntyp = 3
/
ATOMIC_SPECIES
Na 22.99 Na.upf
Sn 118.71 Sn.upf
Hg 200.59 Hg.upf
CELL_PARAMETERS angstrom
4.4083 -3.6689 0.0000
4.4083 3.6689 0.0000
0.0000 0.0000 13.2283
ATOMIC_POSITIONS angstrom
Na 4.4083 3.5004 9.9212
Na 2.5959 1.2476 8.0447
Na 2.5959 1.2476 11.7977
Na 2.5959 -1.2476 1.4306
Na 2.5959 -1.2476 5.1836
Na 6.2206 1.2476 8.0447
Na 6.2206 1.2476 11.7977
Na 6.2206 -1.2476 1.4306
Na 6.2206 -1.2476 5.1836
Na 4.4083 -3.5004 3.3071
Sn 0.0000 0.0000 0.0000
Sn 0.0000 0.0000 6.6142
Hg 4.4083 0.7372 3.3071
Hg 4.4083 -0.7372 9.9212

Sorted by energy, starting with the most stable: ii, i.

## i
! GGA-PBE Na2Sn2Hg5, relaxed; values from VASP
! Calculated volume: 234.5 Å³/cell
! Theoretical density: 9.111 Mg/m³
! Spin magnetization: 0.00 μB per formula unit
! Space group: No. 38
&SYSTEM
  ibrav = 0, nat = 9, ntyp = 3
/
ATOMIC_SPECIES
Na 22.99 Na.upf
Sn 118.71 Sn.upf
Hg 200.59 Hg.upf
CELL_PARAMETERS angstrom
10.0948 0.0000 0.0000
0.0000 2.5827 4.4964
0.0000 -2.5827 4.4964
ATOMIC_POSITIONS angstrom
Na 0.0000 0.0000 0.0000
Na 5.0474 0.0000 2.9711
Sn 2.1215 0.0000 5.9834
Sn 7.9733 0.0000 5.9834
Hg 1.5064 0.0000 2.9939
Hg 3.4353 0.0000 8.9677
Hg 5.0474 0.0000 5.9652
Hg 6.6596 0.0000 8.9677
Hg 8.5884 0.0000 2.9939

## ii
! GGA-PBE Na2Sn2Hg5, relaxed; values from VASP
! Calculated volume: 517.9 Å³/cell
! Theoretical density: 8.249 Mg/m³
! Spin magnetization: 0.00 μB per formula unit
! Space group: No. 46
&SYSTEM
  ibrav = 0, nat = 18, ntyp = 3
/
ATOMIC_SPECIES
Na 22.99 Na.upf
Sn 118.71 Sn.upf
Hg 200.59 Hg.upf
CELL_PARAMETERS angstrom
-8.6370 3.6854 4.0677
8.6370 -3.6854 4.0677
8.6370 3.6854 -4.0677
ATOMIC_POSITIONS angstrom
Na 2.2578 0.0482 0.0000
Na 6.3792 0.0482 0.0000
Na 2.2578 3.6372 4.0677
Na 6.3792 3.6372 4.0677
Sn 0.0000 0.0000 2.3829
Sn 8.6370 0.0000 2.3829
Sn 4.3185 2.6658 1.6591
Sn 4.3185 1.0196 5.7268
Hg 4.3185 -1.7542 2.1188
Hg 2.6621 3.0582 -0.7756
Hg 5.9749 3.0582 -0.7756
Hg 2.6621 0.6272 3.2921
Hg 5.9749 0.6272 3.2921
Hg 4.3185 5.4396 -1.9489
Hg -1.0057 2.5871 1.3159
Hg 9.6427 2.5871 1.3159
Hg 1.0057 4.7837 1.3159
Hg -1.0057 1.0983 5.3836

Sorted by energy, starting with the most stable: i, ii.

## i
! GGA-PBE Na6SnHg, relaxed; values from VASP
! Calculated volume: 232.4 Å³/cell
! Theoretical density: 3.268 Mg/m³
! Spin magnetization: 0.00 μB per formula unit
! Space group: No. 2
&SYSTEM
  ibrav = 0, nat = 8, ntyp = 3
/
ATOMIC_SPECIES
Na 22.99 Na.upf
Sn 118.71 Sn.upf
Hg 200.59 Hg.upf
CELL_PARAMETERS angstrom
6.1304 0.0000 0.0000
-0.0386 6.1361 0.0000
-0.0857 -0.0908 6.1769
ATOMIC_POSITIONS angstrom
Na -0.0463 1.5158 3.0742
Na 1.5030 0.0019 0.0073
Na 2.9689 2.9955 4.6597
Na 3.0372 3.0499 1.5171
Na 4.5031 6.0435 6.1696
Na 6.0524 4.5296 3.1027
Sn -0.0193 3.0681 0.0000
Hg 3.0224 -0.0454 3.0884

## ii
! GGA-PBE Na6SnHg, relaxed; values from VASP
! Calculated volume: 232.3 Å³/cell
! Theoretical density: 3.269 Mg/m³
! Spin magnetization: 0.00 μB per formula unit
! Space group: No. 123
&SYSTEM
  ibrav = 0, nat = 8, ntyp = 3
/
ATOMIC_SPECIES
Na 22.99 Na.upf
Sn 118.71 Sn.upf
Hg 200.59 Hg.upf
CELL_PARAMETERS angstrom
5.1198 0.0000 0.0000
0.0000 5.1198 0.0000
0.0000 0.0000 8.8604
ATOMIC_POSITIONS angstrom
Na 0.0000 0.0000 0.0000
Na 0.0000 0.0000 4.4302
Na 0.0000 2.5599 2.1873
Na 0.0000 2.5599 6.6732
Na 2.5599 0.0000 2.1873
Na 2.5599 0.0000 6.6732
Sn 2.5599 2.5599 0.0000
Hg 2.5599 2.5599 4.4302

Sorted by energy, starting with the most stable: i, ii.